Record 1
! Fe6CoNi5 (PBE-GGA, relaxed); values from VASP
&SYSTEM
  ibrav = 0, nat = 12, ntyp = 3
/
ATOMIC_SPECIES
Ni 58.69 Ni.upf
Fe 55.84 Fe.upf
Co 58.93 Co.upf
ATOMIC_POSITIONS crystal
Ni 0.668 0.000 0.664
Fe 0.166 0.751 0.668
Ni 0.667 0.500 0.667
Fe 0.500 0.248 0.000
Co 0.000 0.000 0.000
Fe 0.166 0.249 0.668
Ni 0.333 0.500 0.333
Ni 0.332 0.000 0.336
Fe 0.834 0.751 0.332
Fe 0.834 0.249 0.332
Fe 0.500 0.752 0.000
Ni 0.000 0.500 0.000
CELL_PARAMETERS angstrom
3.404 -0.017 1.134
0.031 7.058 0.010
0.007 -0.008 5.655
! - Mass density: 8.41 g/cm3
! - Raw total energy: -87.3 eV/cell
! - ΔH_f (0 K): -0.5 eV per formula unit

---

Record 2
! Fe3Co8Ni2 (PBE-GGA, relaxed); values from VASP
&SYSTEM
  ibrav = 0, nat = 13, ntyp = 3
/
ATOMIC_SPECIES
Fe 55.84 Fe.upf
Ni 58.69 Ni.upf
Co 58.93 Co.upf
ATOMIC_POSITIONS crystal
Fe 0.310 0.451 0.160
Ni 0.538 0.313 0.766
Co 0.154 0.226 0.080
Co 0.078 0.617 0.537
Ni 0.462 0.687 0.234
Co 0.382 0.084 0.689
Co 0.768 0.146 0.390
Fe 0.690 0.549 0.840
Co 0.618 0.916 0.311
Co 0.232 0.854 0.610
Fe 0.000 0.000 0.000
Co 0.922 0.383 0.463
Co 0.846 0.774 0.920
CELL_PARAMETERS angstrom
2.880 0.425 1.976
1.044 5.469 3.564
-0.787 2.110 10.091
! - Mass density: 8.69 g/cm3
! - Raw total energy: -93.8 eV/cell
! - ΔH_f (0 K): 0.0 eV per formula unit

---

Record 3
! FeCo10Ni6 (PBE-GGA, relaxed); values from VASP
&SYSTEM
  ibrav = 0, nat = 17, ntyp = 3
/
ATOMIC_SPECIES
Co 58.93 Co.upf
Ni 58.69 Ni.upf
Fe 55.84 Fe.upf
ATOMIC_POSITIONS crystal
Co 0.000 0.667 0.333
Co 0.171 0.282 0.282
Co 0.171 0.000 0.718
Co 0.829 0.000 0.282
Ni 0.690 0.627 0.000
Ni 0.310 0.627 0.627
Co 0.500 0.667 0.333
Ni 0.690 0.373 0.373
Co 0.171 0.718 0.000
Co 0.000 0.333 0.667
Co 0.829 0.718 0.718
Co 0.829 0.282 0.000
Co 0.500 0.333 0.667
Fe 0.500 0.000 0.000
Ni 0.690 0.000 0.627
Ni 0.310 0.373 0.000
Ni 0.310 0.000 0.373
CELL_PARAMETERS angstrom
-1.030 -1.599 -4.393
6.179 1.946 -2.156
-0.920 -6.286 2.503
! - Mass density: 8.57 g/cm3
! - Raw total energy: -111.6 eV/cell
! - ΔH_f (0 K): 2.7 eV per formula unit